# 1
Material: Al6GaAg3
Method: DFT, PBE-GGA
State: optimized geometry Values from VASP.

The structure in Quantum ESPRESSO input format:
```
&SYSTEM
  ibrav = 0, nat = 20, ntyp = 3
/
ATOMIC_SPECIES
Al 26.98 Al.upf
Ga 69.72 Ga.upf
Ag 107.87 Ag.upf
CELL_PARAMETERS angstrom
7.294 -1.026 -1.049
-1.184 7.270 -1.049
-1.184 -1.210 7.245
ATOMIC_POSITIONS crystal
Al 0.324 0.900 0.022
Al 0.100 0.978 0.676
Al 0.697 0.968 0.585
Al 0.978 0.676 0.100
Al 0.585 0.697 0.968
Al 0.032 0.415 0.303
Al 0.968 0.585 0.697
Al 0.415 0.303 0.032
Al 0.022 0.324 0.900
Al 0.303 0.032 0.415
Al 0.900 0.022 0.324
Al 0.676 0.100 0.978
Ga 0.000 0.000 0.000
Ga 0.500 0.500 0.500
Ag 0.356 0.782 0.642
Ag 0.782 0.642 0.356
Ag 0.358 0.644 0.218
Ag 0.642 0.356 0.782
Ag 0.218 0.358 0.644
Ag 0.644 0.218 0.358
```

energy relative to the elements: 69 meV/atom
ΔE to the lowest computed polymorph: 93 meV per atom

***

# 2
Material: AlGa8Ag6
Method: DFT, PBE-GGA
State: optimized geometry Values from VASP.

The structure in Quantum ESPRESSO input format:
```
&SYSTEM
  ibrav = 0, nat = 15, ntyp = 3
/
ATOMIC_SPECIES
Al 26.98 Al.upf
Ga 69.72 Ga.upf
Ag 107.87 Ag.upf
CELL_PARAMETERS angstrom
6.376 -0.030 2.890
1.851 6.102 2.890
-0.041 -0.030 7.000
ATOMIC_POSITIONS crystal
Al 0.000 0.000 0.000
Ga 0.114 0.669 0.805
Ga 0.195 0.886 0.331
Ga 0.331 0.195 0.886
Ga 0.577 0.577 0.577
Ga 0.423 0.423 0.423
Ga 0.669 0.805 0.114
Ga 0.805 0.114 0.669
Ga 0.886 0.331 0.195
Ag 0.916 0.446 0.738
Ag 0.262 0.084 0.554
Ag 0.554 0.262 0.084
Ag 0.446 0.738 0.916
Ag 0.738 0.916 0.446
Ag 0.084 0.554 0.262
```

energy relative to the elements: 34 meV/atom
ΔE to the lowest computed polymorph: 0 meV per atom

***

# 3
Material: Al4Ga2Ag5
Method: DFT, PBE-GGA
State: optimized geometry Values from VASP.

The structure in Quantum ESPRESSO input format:
```
&SYSTEM
  ibrav = 0, nat = 11, ntyp = 3
/
ATOMIC_SPECIES
Al 26.98 Al.upf
Ga 69.72 Ga.upf
Ag 107.87 Ag.upf
CELL_PARAMETERS angstrom
-3.525 0.351 -4.402
-6.997 -0.514 1.935
-6.202 4.877 1.729
ATOMIC_POSITIONS crystal
Al 0.429 0.778 0.364
Al 0.571 0.222 0.636
Al 0.767 0.725 0.740
Al 0.233 0.275 0.260
Ga 0.249 0.779 0.722
Ga 0.751 0.221 0.278
Ag 0.153 0.254 0.944
Ag 0.847 0.746 0.056
Ag 0.000 0.500 0.500
Ag 0.648 0.254 0.944
Ag 0.352 0.746 0.056
```

energy relative to the elements: 69 meV/atom
ΔE to the lowest computed polymorph: 31 meV per atom

***

# 4
Material: Al8GaAg5
Method: DFT, PBE-GGA
State: optimized geometry Values from VASP.

The structure in Quantum ESPRESSO input format:
```
&SYSTEM
  ibrav = 0, nat = 14, ntyp = 3
/
ATOMIC_SPECIES
Al 26.98 Al.upf
Ga 69.72 Ga.upf
Ag 107.87 Ag.upf
CELL_PARAMETERS angstrom
6.873 -0.002 0.003
-2.327 6.467 -0.003
-2.218 -3.271 5.623
ATOMIC_POSITIONS crystal
Al 0.139 0.701 0.067
Al 0.933 0.072 0.634
Al 0.754 0.265 0.356
Al 0.644 0.399 0.909
Al 0.511 0.601 0.246
Al 0.562 0.928 0.861
Al 0.366 0.299 0.438
Al 0.091 0.735 0.489
Ga 0.250 0.500 0.750
Ag 0.013 0.311 0.125
Ag 0.875 0.888 0.187
Ag 0.813 0.689 0.701
Ag 0.500 0.000 0.500
Ag 0.299 0.112 0.987
```

energy relative to the elements: 53 meV/atom

***

# 5
Material: AlGaAgGe
Method: DFT, PBE-GGA
State: optimized geometry Values from VASP.

The structure in Quantum ESPRESSO input format:
```
&SYSTEM
  ibrav = 0, nat = 4, ntyp = 4
/
ATOMIC_SPECIES
Ge 72.64 Ge.upf
Ga 69.72 Ga.upf
Ag 107.87 Ag.upf
Al 26.98 Al.upf
CELL_PARAMETERS angstrom
4.711 0.000 0.000
2.356 4.080 0.000
2.356 1.360 3.847
ATOMIC_POSITIONS crystal
Ge 0.250 0.250 0.250
Ga 0.500 0.500 0.500
Ag 0.750 0.750 0.750
Al 0.000 0.000 0.000
```

energy relative to the elements: 170 meV/atom

***

# 6
Material: Ho4AlGaAg2
Method: DFT, PBE-GGA
State: optimized geometry Values from VASP.

The structure in Quantum ESPRESSO input format:
```
&SYSTEM
  ibrav = 0, nat = 8, ntyp = 4
/
ATOMIC_SPECIES
Ho 164.93 Ho.upf
Al 26.98 Al.upf
Ga 69.72 Ga.upf
Ag 107.87 Ag.upf
CELL_PARAMETERS angstrom
-1.355 1.907 4.545
-2.712 -2.851 3.262
5.707 -3.227 5.929
ATOMIC_POSITIONS crystal
Ho 0.377 0.377 0.870
Ho 0.874 0.874 0.379
Ho 0.126 0.126 0.621
Ho 0.623 0.623 0.130
Al 0.000 0.000 0.000
Ga 0.500 0.500 0.500
Ag 0.746 0.746 0.762
Ag 0.254 0.254 0.238
```

energy relative to the elements: -410 meV/atom

***

# 7
Material: La2AlGa3Ag4
Method: DFT, PBE-GGA
State: optimized geometry Values from VASP.

The structure in Quantum ESPRESSO input format:
```
&SYSTEM
  ibrav = 0, nat = 10, ntyp = 4
/
ATOMIC_SPECIES
La 138.91 La.upf
Al 26.98 Al.upf
Ga 69.72 Ga.upf
Ag 107.87 Ag.upf
CELL_PARAMETERS angstrom
4.464 0.000 0.000
0.000 4.464 0.000
0.000 0.000 10.818
ATOMIC_POSITIONS crystal
La 0.500 0.000 0.248
La 0.000 0.500 0.752
Al 0.500 0.500 0.500
Ga 0.000 0.000 0.500
Ga 0.500 0.000 0.866
Ga 0.000 0.500 0.134
Ag 0.500 0.500 0.000
Ag 0.000 0.000 0.000
Ag 0.500 0.000 0.630
Ag 0.000 0.500 0.370
```

energy relative to the elements: -385 meV/atom

***

# 8
Material: LaAlGaAg
Method: DFT, PBE-GGA
State: optimized geometry Values from VASP.

The structure in Quantum ESPRESSO input format:
```
&SYSTEM
  ibrav = 0, nat = 4, ntyp = 4
/
ATOMIC_SPECIES
Al 26.98 Al.upf
Ga 69.72 Ga.upf
Ag 107.87 Ag.upf
La 138.91 La.upf
CELL_PARAMETERS angstrom
4.995 0.000 0.000
2.497 4.326 0.000
2.497 1.442 4.078
ATOMIC_POSITIONS crystal
Al 0.500 0.500 0.500
Ga 0.750 0.750 0.750
Ag 0.250 0.250 0.250
La 0.000 0.000 0.000
```

energy relative to the elements: -331 meV/atom

***

# 9
Material: La2Al6GaAg
Method: DFT, PBE-GGA
State: optimized geometry Values from VASP.

The structure in Quantum ESPRESSO input format:
```
&SYSTEM
  ibrav = 0, nat = 20, ntyp = 4
/
ATOMIC_SPECIES
La 138.91 La.upf
Al 26.98 Al.upf
Ga 69.72 Ga.upf
Ag 107.87 Ag.upf
CELL_PARAMETERS angstrom
5.793 0.000 0.000
2.896 5.017 0.000
2.896 1.672 15.117
ATOMIC_POSITIONS crystal
La 0.851 0.851 0.447
La 0.149 0.149 0.553
La 0.705 0.705 0.885
La 0.295 0.295 0.115
Al 0.892 0.374 0.359
Al 0.374 0.892 0.359
Al 0.374 0.374 0.359
Al 0.108 0.626 0.641
Al 0.626 0.108 0.641
Al 0.626 0.626 0.641
Al 0.758 0.232 0.778
Al 0.232 0.758 0.778
Al 0.232 0.232 0.778
Al 0.242 0.768 0.222
Al 0.768 0.242 0.222
Al 0.768 0.768 0.222
Ga 0.638 0.638 0.087
Ga 0.362 0.362 0.913
Ag 0.000 0.000 0.000
Ag 0.500 0.500 0.500
```

energy relative to the elements: -260 meV/atom

***

# 10
Material: LaAlGa2Ag
Method: DFT, PBE-GGA
State: optimized geometry Values from VASP.

The structure in Quantum ESPRESSO input format:
```
&SYSTEM
  ibrav = 0, nat = 5, ntyp = 4
/
ATOMIC_SPECIES
La 138.91 La.upf
Al 26.98 Al.upf
Ga 69.72 Ga.upf
Ag 107.87 Ag.upf
CELL_PARAMETERS angstrom
-0.784 -4.186 0.714
0.085 -0.742 -4.253
5.829 1.486 2.049
ATOMIC_POSITIONS crystal
La 0.000 0.000 0.000
Al 0.250 0.750 0.500
Ga 0.612 0.612 0.225
Ga 0.388 0.388 0.775
Ag 0.750 0.250 0.500
```

energy relative to the elements: -515 meV/atom

***

# 11
Material: La2Al3Ga4Ag
Method: DFT, PBE-GGA
State: optimized geometry Values from VASP.

The structure in Quantum ESPRESSO input format:
```
&SYSTEM
  ibrav = 0, nat = 10, ntyp = 4
/
ATOMIC_SPECIES
La 138.91 La.upf
Al 26.98 Al.upf
Ga 69.72 Ga.upf
Ag 107.87 Ag.upf
CELL_PARAMETERS angstrom
-1.162 1.704 -3.891
-3.758 -2.293 0.118
-4.843 8.197 5.035
ATOMIC_POSITIONS crystal
La 0.500 0.000 0.246
La 0.000 0.500 0.754
Al 0.000 0.000 0.500
Al 0.500 0.000 0.869
Al 0.000 0.500 0.131
Ga 0.500 0.500 0.000
Ga 0.000 0.000 0.000
Ga 0.500 0.000 0.638
Ga 0.000 0.500 0.362
Ag 0.500 0.500 0.500
```

energy relative to the elements: -477 meV/atom

***

# 12
Material: LaAlGa3Ag
Method: DFT, PBE-GGA
State: optimized geometry Values from VASP.

The structure in Quantum ESPRESSO input format:
```
&SYSTEM
  ibrav = 0, nat = 12, ntyp = 4
/
ATOMIC_SPECIES
La 138.91 La.upf
Al 26.98 Al.upf
Ga 69.72 Ga.upf
Ag 107.87 Ag.upf
CELL_PARAMETERS angstrom
-1.738 0.280 -6.257
-5.257 -3.502 1.304
-0.651 7.101 0.499
ATOMIC_POSITIONS crystal
La 0.750 0.306 0.612
La 0.250 0.694 0.388
Al 0.250 0.926 0.852
Al 0.750 0.074 0.148
Ga 0.250 0.135 0.269
Ga 0.000 0.293 0.000
Ga 0.500 0.707 0.000
Ga 0.500 0.293 0.000
Ga 0.000 0.707 0.000
Ga 0.750 0.865 0.731
Ag 0.250 0.347 0.695
Ag 0.750 0.653 0.305
```

energy relative to the elements: -102 meV/atom

***

# 13
Material: La2Al4GaAg3
Method: DFT, PBE-GGA
State: optimized geometry Values from VASP.

The structure in Quantum ESPRESSO input format:
```
&SYSTEM
  ibrav = 0, nat = 10, ntyp = 4
/
ATOMIC_SPECIES
La 138.91 La.upf
Al 26.98 Al.upf
Ga 69.72 Ga.upf
Ag 107.87 Ag.upf
CELL_PARAMETERS angstrom
-3.613 1.907 -1.784
-0.747 -3.672 -2.415
-6.036 -4.000 7.948
ATOMIC_POSITIONS crystal
La 0.500 0.000 0.254
La 0.000 0.500 0.746
Al 0.500 0.500 0.000
Al 0.000 0.000 0.000
Al 0.500 0.000 0.633
Al 0.000 0.500 0.367
Ga 0.500 0.500 0.500
Ag 0.000 0.000 0.500
Ag 0.500 0.000 0.870
Ag 0.000 0.500 0.130
```

energy relative to the elements: -413 meV/atom

***

# 14
Material: La2AlGa6Ag
Method: DFT, PBE-GGA
State: optimized geometry Values from VASP.

The structure in Quantum ESPRESSO input format:
```
&SYSTEM
  ibrav = 0, nat = 20, ntyp = 4
/
ATOMIC_SPECIES
La 138.91 La.upf
Al 26.98 Al.upf
Ga 69.72 Ga.upf
Ag 107.87 Ag.upf
CELL_PARAMETERS angstrom
-6.368 0.654 -1.216
-2.132 0.261 -6.151
-4.054 -11.733 -2.543
ATOMIC_POSITIONS crystal
La 0.888 0.888 0.336
La 0.112 0.112 0.664
La 0.709 0.709 0.873
La 0.291 0.291 0.127
Al 0.571 0.571 0.286
Al 0.429 0.429 0.714
Ga 0.946 0.333 0.387
Ga 0.333 0.946 0.387
Ga 0.333 0.333 0.387
Ga 0.054 0.667 0.613
Ga 0.667 0.054 0.613
Ga 0.667 0.667 0.613
Ga 0.652 0.232 0.884
Ga 0.232 0.652 0.884
Ga 0.232 0.232 0.884
Ga 0.348 0.768 0.116
Ga 0.768 0.348 0.116
Ga 0.768 0.768 0.116
Ag 0.000 0.000 0.000
Ag 0.500 0.500 0.500
```

energy relative to the elements: -297 meV/atom

***

# 15
Material: LaAl2GaAg
Method: DFT, PBE-GGA
State: optimized geometry Values from VASP.

The structure in Quantum ESPRESSO input format:
```
&SYSTEM
  ibrav = 0, nat = 5, ntyp = 4
/
ATOMIC_SPECIES
La 138.91 La.upf
Al 26.98 Al.upf
Ga 69.72 Ga.upf
Ag 107.87 Ag.upf
CELL_PARAMETERS angstrom
-3.299 2.663 1.081
-2.791 -3.259 -0.489
3.699 -1.064 5.052
ATOMIC_POSITIONS crystal
La 0.441 0.441 0.882
Al 0.694 0.194 0.388
Al 0.057 0.057 0.114
Ga 0.830 0.830 0.660
Ag 0.190 0.690 0.381
```

energy relative to the elements: -474 meV/atom

***

# 16
Material: LaAlGaAg2
Method: DFT, PBE-GGA
State: optimized geometry Values from VASP.

The structure in Quantum ESPRESSO input format:
```
&SYSTEM
  ibrav = 0, nat = 5, ntyp = 4
/
ATOMIC_SPECIES
La 138.91 La.upf
Al 26.98 Al.upf
Ga 69.72 Ga.upf
Ag 107.87 Ag.upf
CELL_PARAMETERS angstrom
4.495 0.000 0.000
0.000 4.557 0.000
-2.247 -2.279 5.347
ATOMIC_POSITIONS crystal
La 0.439 0.439 0.879
Al 0.821 0.821 0.642
Ga 0.190 0.690 0.380
Ag 0.706 0.206 0.413
Ag 0.056 0.056 0.112
```

energy relative to the elements: -343 meV/atom

***

# 17
Material: LiAlGa3Ag
Method: DFT, PBE-GGA
State: optimized geometry Values from VASP.

The structure in Quantum ESPRESSO input format:
```
&SYSTEM
  ibrav = 0, nat = 12, ntyp = 4
/
ATOMIC_SPECIES
Li 6.94 Li.upf
Al 26.98 Al.upf
Ga 69.72 Ga.upf
Ag 107.87 Ag.upf
CELL_PARAMETERS angstrom
3.879 0.000 0.000
0.000 6.068 0.601
0.000 -0.866 8.508
ATOMIC_POSITIONS crystal
Li 0.250 0.126 0.249
Li 0.750 0.874 0.751
Al 0.250 0.614 0.246
Al 0.750 0.386 0.754
Ga 0.750 0.876 0.079
Ga 0.250 0.124 0.921
Ga 0.250 0.630 0.584
Ga 0.750 0.370 0.416
Ga 0.750 0.367 0.077
Ga 0.250 0.633 0.923
Ag 0.250 0.127 0.597
Ag 0.750 0.873 0.403
```

energy relative to the elements: -112 meV/atom

***

# 18
Material: LiAlGaAg2
Method: DFT, PBE-GGA
State: optimized geometry Values from VASP.

The structure in Quantum ESPRESSO input format:
```
&SYSTEM
  ibrav = 0, nat = 10, ntyp = 4
/
ATOMIC_SPECIES
Li 6.94 Li.upf
Al 26.98 Al.upf
Ga 69.72 Ga.upf
Ag 107.87 Ag.upf
CELL_PARAMETERS angstrom
-1.998 -3.418 -1.217
4.116 -0.596 -5.083
3.536 -3.358 3.623
ATOMIC_POSITIONS crystal
Li 0.250 0.746 0.256
Li 0.750 0.254 0.744
Al 0.250 0.943 0.841
Al 0.750 0.057 0.159
Ga 0.250 0.550 0.657
Ga 0.750 0.450 0.343
Ag 0.750 0.844 0.536
Ag 0.750 0.672 0.970
Ag 0.250 0.156 0.464
Ag 0.250 0.328 0.030
```

energy relative to the elements: -155 meV/atom

***

# 19
Material: LiAl2GaAg
Method: DFT, PBE-GGA
State: optimized geometry Values from VASP.

The structure in Quantum ESPRESSO input format:
```
&SYSTEM
  ibrav = 0, nat = 10, ntyp = 4
/
ATOMIC_SPECIES
Li 6.94 Li.upf
Al 26.98 Al.upf
Ga 69.72 Ga.upf
Ag 107.87 Ag.upf
CELL_PARAMETERS angstrom
4.071 0.000 0.000
-2.035 4.538 0.000
0.000 0.000 9.679
ATOMIC_POSITIONS crystal
Li 0.587 0.174 0.750
Li 0.413 0.826 0.250
Al 0.292 0.584 0.911
Al 0.708 0.416 0.089
Al 0.292 0.584 0.589
Al 0.708 0.416 0.411
Ga 0.000 0.000 0.000
Ga 0.000 0.000 0.500
Ag 0.883 0.766 0.750
Ag 0.117 0.234 0.250
```

energy relative to the elements: -51 meV/atom

***

# 20
Material: Mg2AlGaAg
Method: DFT, PBE-GGA
State: optimized geometry Values from VASP.

The structure in Quantum ESPRESSO input format:
```
&SYSTEM
  ibrav = 0, nat = 10, ntyp = 4
/
ATOMIC_SPECIES
Mg 24.30 Mg.upf
Al 26.98 Al.upf
Ga 69.72 Ga.upf
Ag 107.87 Ag.upf
CELL_PARAMETERS angstrom
4.143 0.000 0.000
0.000 7.358 0.343
0.000 -2.529 6.287
ATOMIC_POSITIONS crystal
Mg 0.750 0.902 0.630
Mg 0.750 0.678 0.023
Mg 0.250 0.098 0.370
Mg 0.250 0.322 0.977
Al 0.250 0.532 0.651
Al 0.750 0.468 0.349
Ga 0.250 0.700 0.338
Ga 0.750 0.300 0.662
Ag 0.250 0.878 0.912
Ag 0.750 0.122 0.088
```

energy relative to the elements: -121 meV/atom